Record 1
## HoSc2CuC (PBE)

Data for a relaxed HoSc2CuC crystal.

Computed properties:
- V (Å³/f.u.) = 97.01
- total magnetization (μB/cell) = 0.0
- SG = P4/mmm (123)
- formation enthalpy at 0 K (eV/atom) = -0.2470

abc: 4.4267 4.4267 4.9506
angles: 90.00 90.00 90.00
Last column: nearest neighbours and their distance in Å.
Atoms (fractional coordinates):
Ho  0.0000  0.0000  0.0000  2 C 2.48
Sc  0.0000  0.5000  0.5000  2 C 2.21
Sc  0.5000  0.0000  0.5000  2 C 2.21
Cu  0.5000  0.5000  0.0000  4 Ho 3.13, 8 Sc 3.32
C  0.0000  0.0000  0.5000  4 Sc 2.21, 2 Ho 2.48

Record 2
## NaMgCoSn2 (PBE)

Data for a relaxed NaMgCoSn2 crystal.

Computed properties:
- V (Å³/f.u.) = 119.50
- total magnetization (μB/cell) = 0.0
- SG = P4/mmm (123)
- formation enthalpy at 0 K (eV/atom) = -0.0480

abc: 4.9243 4.9243 4.9280
angles: 90.00 90.00 90.00
Last column: nearest neighbours and their distance in Å.
Atoms (fractional coordinates):
Na  0.0000  0.0000  0.0000  4 Mg 3.48, 8 Sn 3.48
Mg  0.5000  0.5000  0.0000  2 Co 2.46
Co  0.5000  0.5000  0.5000  4 Sn 2.46, 2 Mg 2.46
Sn  0.0000  0.5000  0.5000  2 Co 2.46
Sn  0.5000  0.0000  0.5000  2 Co 2.46

Record 3
## Ba3Zn2Cd9 (PBE)

Data for a relaxed Ba3Zn2Cd9 crystal.

Computed properties:
- V (Å³/f.u.) = 390.12
- total magnetization (μB/cell) = 0.0
- SG = Immm (71)
- formation enthalpy at 0 K (eV/atom) = -0.2348

abc: 9.3588 9.3588 9.3588
angles: 148.27 112.85 76.18
Last column: nearest neighbours and their distance in Å.
Atoms (fractional coordinates):
Ba  0.0000  0.0000  0.0000  12 Cd 3.55-3.78
Ba  0.3026  0.3026  0.0000  14 Cd 3.51-3.88, 2 Zn 3.57
Ba  0.6974  0.6974  0.0000  14 Cd 3.51-3.88, 2 Zn 3.57
Zn  0.3008  0.5000  0.8008  2 Cd 2.86
Zn  0.6992  0.5000  0.1992  2 Cd 2.86
Cd  0.0156  0.6595  0.3561  1 Zn 2.86, 4 Cd 2.98-3.14
Cd  0.1537  0.8671  0.2866  4 Cd 2.95-3.14, 2 Zn 3.22
Cd  0.3034  0.6595  0.6439  1 Zn 2.86, 4 Cd 2.98-3.14
Cd  0.4195  0.1329  0.2866  4 Cd 2.95-3.14, 2 Zn 3.22
Cd  0.5000  0.0000  0.5000  4 Cd 2.95, 4 Zn 3.29
Cd  0.5805  0.8671  0.7134  4 Cd 2.95-3.14, 2 Zn 3.22
Cd  0.6966  0.3405  0.3561  1 Zn 2.86, 4 Cd 2.98-3.14
Cd  0.8463  0.1329  0.7134  4 Cd 2.95-3.14, 2 Zn 3.22
Cd  0.9844  0.3405  0.6439  1 Zn 2.86, 4 Cd 2.98-3.14

Record 4
## Hf6Bi2As (PBE)

Data for a relaxed Hf6Bi2As crystal.

Computed properties:
- V (Å³/f.u.) = 205.85
- total magnetization (μB/cell) = 0.0
- SG = P2_1/c (14)
- formation enthalpy at 0 K (eV/atom) = -0.1885

abc: 5.8034 7.7081 10.6534
angles: 90.00 120.24 90.00
Last column: nearest neighbours and their distance in Å.
Atoms (fractional coordinates):
Hf  0.0637  0.1888  0.4448  1 As 2.72, 3 Bi 2.93-2.99
Hf  0.0637  0.3112  0.9448  1 As 2.72, 3 Bi 2.93-2.99
Hf  0.2933  0.0119  0.2018  1 As 2.78, 2 Bi 2.99-3.03
Hf  0.2933  0.4881  0.7018  1 As 2.78, 2 Bi 2.99-3.03
Hf  0.3191  0.6745  0.4484  1 As 2.67, 1 Bi 2.93
Hf  0.3191  0.8255  0.9484  1 As 2.67, 1 Bi 2.93
Hf  0.6809  0.1745  0.0516  1 As 2.67, 1 Bi 2.93
Hf  0.6809  0.3255  0.5516  1 As 2.67, 1 Bi 2.93
Hf  0.7067  0.5119  0.2982  1 As 2.78, 2 Bi 2.99-3.03
Hf  0.7067  0.9881  0.7982  1 As 2.78, 2 Bi 2.99-3.03
Hf  0.9363  0.6888  0.0552  1 As 2.72, 3 Bi 2.93-2.99
Hf  0.9363  0.8112  0.5552  1 As 2.72, 3 Bi 2.93-2.99
Bi  0.1788  0.1169  0.7464  9 Hf 2.93-3.21
Bi  0.1788  0.3831  0.2464  9 Hf 2.93-3.21
Bi  0.8212  0.6169  0.7536  9 Hf 2.93-3.21
Bi  0.8212  0.8831  0.2536  9 Hf 2.93-3.21
As  0.5000  0.0000  0.5000  6 Hf 2.67-2.78
As  0.5000  0.5000  0.0000  6 Hf 2.67-2.78